[1]
Computed, not measured: a geometry-optimized Na2Al3Ga4 structure at the GGA-PBE level of DFT.

The formation energy from the elements is -0.031 eV per atom. The space group is Cmce, No. 64.

a b c (Å): 5.866 7.868 8.443
angles (deg): 90.00 110.33 90.00
Atoms (fractional coordinates):
Ga 0.185 0.750 0.870
Ga 0.685 0.750 0.870
Ga 0.325 0.480 0.649
Ga 0.815 0.250 0.130
Ga 0.675 0.520 0.351
Ga 0.175 0.980 0.351
Ga 0.315 0.250 0.130
Ga 0.825 0.020 0.649
Al 0.500 0.500 0.000
Al 0.018 0.750 0.536
Al 0.000 0.000 0.000
Al 0.518 0.750 0.536
Al 0.982 0.250 0.464
Al 0.482 0.250 0.464
Na 0.101 0.601 0.202
Na 0.601 0.899 0.202
Na 0.899 0.399 0.798
Na 0.399 0.101 0.798

[2]
Computed, not measured: a geometry-optimized LaTa2Pb structure at the GGA-PBE level of DFT.

The formation energy from the elements is 0.605 eV per atom. The space group is I4/mmm, No. 139.

a b c (Å): 5.763 5.763 5.763
angles (deg): 134.82 134.82 65.80
Atoms (fractional coordinates):
La 0.250 0.750 0.500
Ta 0.000 0.000 0.000
Ta 0.500 0.500 0.000
Pb 0.750 0.250 0.500

[3]
Computed, not measured: a geometry-optimized ZrTaGeTe2 structure at the GGA-PBE level of DFT.

The space group is P4/mmm, No. 123. The value obtained for the uncorrected formation energy is 1.19 eV per atom.

a b c (Å): 5.209 4.965 5.209
angles (deg): 90.00 90.00 90.00
Atoms (fractional coordinates):
Zr 0.000 0.500 0.000
Te 0.000 0.000 0.500
Te 0.500 0.000 0.000
Ta 0.500 0.500 0.500
Ge 0.000 0.000 0.000

[4]
Computed, not measured: a geometry-optimized Mg2Ag2Au structure at the GGA-PBE level of DFT.

The formation energy from the elements is -0.132 eV per atom. The space group is P4/mbm, No. 127. The calculation puts the polymorph energy (0 for the lowest one) at 0.170 eV/atom.

a b c (Å): 7.420 7.420 3.472
angles (deg): 90.00 90.00 90.00
Atoms (fractional coordinates):
Mg 0.347 0.847 0.000
Mg 0.847 0.653 0.000
Mg 0.653 0.153 0.000
Mg 0.153 0.347 0.000
Au 0.500 0.500 0.000
Au 0.000 0.000 0.000
Ag 0.143 0.643 0.500
Ag 0.643 0.857 0.500
Ag 0.357 0.143 0.500
Ag 0.857 0.357 0.500

Which formula does entry 3 have?
ZrTaGeTe2

Repeat the first record exactly.
Computed, not measured: a geometry-optimized Na2Al3Ga4 structure at the GGA-PBE level of DFT.

The formation energy from the elements is -0.031 eV per atom. The space group is Cmce, No. 64.

a b c (Å): 5.866 7.868 8.443
angles (deg): 90.00 110.33 90.00
Atoms (fractional coordinates):
Ga 0.185 0.750 0.870
Ga 0.685 0.750 0.870
Ga 0.325 0.480 0.649
Ga 0.815 0.250 0.130
Ga 0.675 0.520 0.351
Ga 0.175 0.980 0.351
Ga 0.315 0.250 0.130
Ga 0.825 0.020 0.649
Al 0.500 0.500 0.000
Al 0.018 0.750 0.536
Al 0.000 0.000 0.000
Al 0.518 0.750 0.536
Al 0.982 0.250 0.464
Al 0.482 0.250 0.464
Na 0.101 0.601 0.202
Na 0.601 0.899 0.202
Na 0.899 0.399 0.798
Na 0.399 0.101 0.798